Density functional theory data (GGA-PBE) for a geometry-optimized NaVSn2Cl8 structure.

Values from the calculation:
Crystal system: triclinic
ΔE_f (raw) (eV/atom): -1.176
Mass density (Mg/m³): 3.0
Volume (Å³ per atom): 27.71
Total energy (Ry per atom): -0.2899
Magnetization (μB/cell): 2.0

abc: 6.6002 6.3169 7.9833
angles: 89.94 90.07 87.61
Atoms (fractional coordinates):
Na 0.0000 0.0000 0.5000
V 0.0000 0.0000 0.0000
Sn 0.5006 0.5001 0.7604
Sn 0.4994 0.4999 0.2396
Cl 0.1446 0.7764 0.2203
Cl 0.7062 0.7968 0.9995
Cl 0.8548 0.2229 0.2196
Cl 0.8554 0.2236 0.7797
Cl 0.2938 0.2032 0.0005
Cl 0.1452 0.7771 0.7804
Cl 0.6537 0.7182 0.5001
Cl 0.3463 0.2818 0.4999